[1]
# SmS8Br2

A geometry-optimized SmS8Br2 structure (GGA-PBE, Alexandria via LeMat-Bulk).

Lattice parameters (Å, degrees): 7.0324 7.8066 7.9863 112.81 94.49 110.04
Last column: nearest neighbours and their distance in Å.
Element x y z (fractional)
Sm (0.0000, 0.0000, 0.0000)  2 Br 2.76, 4 S 2.90-2.98
S (0.0603, 0.6011, 0.9308)  1 S 1.97
S (0.2752, 0.8527, 0.1346)  1 S 1.97
S (0.4093, 0.2725, 0.9848)  1 S 1.91
S (0.4121, 0.4910, 0.7925)  1 S 1.91
S (0.5879, 0.5090, 0.2075)  1 S 1.91
S (0.5907, 0.7275, 0.0152)  1 S 1.91
S (0.7248, 0.1473, 0.8654)  1 S 1.97
S (0.9397, 0.3989, 0.0692)  1 S 1.97
Br (0.0311, 0.8219, 0.6355)  1 Sm 2.76
Br (0.9689, 0.1781, 0.3645)  1 Sm 2.76

Properties
As for the uncorrected formation energy: -4.5 eV per formula unit. As for the final energy: -45.5 eV per cell. As for the density of states at the Fermi level: 0.49 states/eV/atom. For the total magnetization, the calculation gives 0.00 μB/f.u.

=====

[2]
# NdY4Tl5

A geometry-optimized NdY4Tl5 structure (GGA-PBE, Alexandria via LeMat-Bulk).

Lattice parameters (Å, degrees): 3.7830 3.7830 19.4942 90.00 90.00 90.00
Last column: nearest neighbours and their distance in Å.
Element x y z (fractional)
Nd (0.0000, 0.0000, 0.0000)  8 Tl 3.39, 4 Nd 3.78
Y (0.0000, 0.0000, 0.2048)  8 Tl 3.29
Y (0.0000, 0.0000, 0.4016)  8 Tl 3.29
Y (0.0000, 0.0000, 0.5984)  8 Tl 3.29
Y (0.0000, 0.0000, 0.7952)  8 Tl 3.29
Tl (0.5000, 0.5000, 0.1065)  4 Y 3.29, 4 Nd 3.39
Tl (0.5000, 0.5000, 0.3035)  8 Y 3.29
Tl (0.5000, 0.5000, 0.5000)  8 Y 3.29
Tl (0.5000, 0.5000, 0.6965)  8 Y 3.29
Tl (0.5000, 0.5000, 0.8935)  4 Y 3.29, 4 Nd 3.39

Properties
As for the final energy: -46.3 eV per cell. As for the density of states at the Fermi level: 0.81 states/eV/atom. For the total magnetization, the calculation gives 0.00 μB/f.u. For the calculated formation energy, the calculation gives -0.38 eV/atom.

=====

Which value of total magnetization does entry 1 give? 0.00 μB/f.u.

=====

What is the formula in the first record? SmS8Br2

=====

What did the second record say?
# NdY4Tl5

A geometry-optimized NdY4Tl5 structure (GGA-PBE, Alexandria via LeMat-Bulk).

Lattice parameters (Å, degrees): 3.7830 3.7830 19.4942 90.00 90.00 90.00
Last column: nearest neighbours and their distance in Å.
Element x y z (fractional)
Nd (0.0000, 0.0000, 0.0000)  8 Tl 3.39, 4 Nd 3.78
Y (0.0000, 0.0000, 0.2048)  8 Tl 3.29
Y (0.0000, 0.0000, 0.4016)  8 Tl 3.29
Y (0.0000, 0.0000, 0.5984)  8 Tl 3.29
Y (0.0000, 0.0000, 0.7952)  8 Tl 3.29
Tl (0.5000, 0.5000, 0.1065)  4 Y 3.29, 4 Nd 3.39
Tl (0.5000, 0.5000, 0.3035)  8 Y 3.29
Tl (0.5000, 0.5000, 0.5000)  8 Y 3.29
Tl (0.5000, 0.5000, 0.6965)  8 Y 3.29
Tl (0.5000, 0.5000, 0.8935)  4 Y 3.29, 4 Nd 3.39

Properties
As for the final energy: -46.3 eV per cell. As for the density of states at the Fermi level: 0.81 states/eV/atom. For the total magnetization, the calculation gives 0.00 μB/f.u. For the calculated formation energy, the calculation gives -0.38 eV/atom.

=====

Which of these has the lowest final energy? NdY4Tl5